Record 1
VASP calculation (GGA-PBE) on a relaxed structure of Si2HgS6.

Structure (CIF):
```
data_Si2HgS6
_cell_length_a 13.922
_cell_length_b 13.339
_cell_length_c 5.576
_cell_angle_alpha 90.00
_cell_angle_beta 95.19
_cell_angle_gamma 90.00
_symmetry_space_group_name_H-M 'C 1 2/c 1'
_symmetry_Int_Tables_number 15
loop_
_symmetry_equiv_pos_as_xyz
'x,y,z'
'-x,-y,-z'
'-x,y,-z+1/2'
'x,-y,z+1/2'
'x+1/2,y+1/2,z'
'-x+1/2,-y+1/2,-z'
'-x+1/2,y+1/2,-z+1/2'
'x+1/2,-y+1/2,z+1/2'
loop_
_atom_site_label
_atom_site_fract_x
_atom_site_fract_y
_atom_site_fract_z
Si1 0.196 0.060 0.387
Hg1 0.000 0.202 0.250
S1 0.122 0.064 0.704
S2 0.157 0.484 0.550
S3 0.170 0.204 0.225
```

Calculated values
Formation energy without anion corrections (eV per atom): -0.293
Size of the total moment (μB per formula unit): 0.000



Record 2
VASP calculation (GGA-PBE) on a relaxed structure of SrSi2HgS6.

Structure (CIF):
```
data_SrSi2HgS6
_cell_length_a 12.785
_cell_length_b 13.147
_cell_length_c 6.398
_cell_angle_alpha 90.00
_cell_angle_beta 107.09
_cell_angle_gamma 90.00
_symmetry_space_group_name_H-M 'C 1 2/c 1'
_symmetry_Int_Tables_number 15
loop_
_symmetry_equiv_pos_as_xyz
'x,y,z'
'-x,-y,-z'
'-x,y,-z+1/2'
'x,-y,z+1/2'
'x+1/2,y+1/2,z'
'-x+1/2,-y+1/2,-z'
'-x+1/2,y+1/2,-z+1/2'
'x+1/2,-y+1/2,z+1/2'
loop_
_atom_site_label
_atom_site_fract_x
_atom_site_fract_y
_atom_site_fract_z
Sr1 0.000 0.116 0.250
Si1 0.207 0.430 0.219
Hg1 0.000 0.306 0.750
S1 0.124 0.079 0.708
S2 0.134 0.285 0.098
S3 0.137 0.448 0.491
```

Calculated values
Formation energy without anion corrections (eV per atom): -0.819
Size of the total moment (μB per formula unit): 0.000



Record 3
VASP calculation (GGA-PBE) on a relaxed structure of SiHgTe2S.

Structure (CIF):
```
data_SiHgTe2S
_cell_length_a 5.286
_cell_length_b 5.286
_cell_length_c 5.003
_cell_angle_alpha 90.00
_cell_angle_beta 90.00
_cell_angle_gamma 90.00
_symmetry_space_group_name_H-M 'P 4/m m m'
_symmetry_Int_Tables_number 123
_symmetry_space_group_name_Hall '-P 4 2'
loop_
_atom_site_label
_atom_site_fract_x
_atom_site_fract_y
_atom_site_fract_z
Si1 0.000 0.000 0.000
Hg1 0.000 0.000 0.500
Te1 0.000 0.500 0.000
S1 0.500 0.500 0.500
```

Calculated values
Energy above the lowest structure with this stoichiometry (meV per atom): 0
Formation energy without anion corrections (eV per atom): 0.638
Size of the total moment (μB per formula unit): 0.000



no.,final energy (Ry/atom)
1,-0.3148
2,-0.3365
3,-0.1903